# SrCrBO2 (GGA+U, optimized geometry)
data_SrCrBO2
_space_group_name_H-M_alt 'P 4/m m m'
_space_group_IT_number 123
_space_group_name_Hall '-P 4 2'
_cell_length_a 3.6975
_cell_length_b 3.6975
_cell_length_c 6.9395
_cell_angle_alpha 90.00
_cell_angle_beta 90.00
_cell_angle_gamma 90.00
loop_
_atom_site_label
_atom_site_type_symbol
_atom_site_fract_x
_atom_site_fract_y
_atom_site_fract_z
Sr1 Sr 0.0000 0.0000 0.0000
Cr1 Cr 0.0000 0.0000 0.5000
B1 B 0.5000 0.5000 0.0000
O1 O 0.0000 0.5000 0.5000
# Total DFT energy (no corrections)   -24.191 eV for the cell shown